! Ho2HfTl2Te6 GGA-PBE optimized geometry; values from VASP
! ΔE_f (raw), eV per atom: -0.970
&SYSTEM
  ibrav = 0, nat = 11, ntyp = 4
/
ATOMIC_SPECIES
Ho 164.93 Ho.upf
Hf 178.49 Hf.upf
Tl 204.38 Tl.upf
Te 127.60 Te.upf
CELL_PARAMETERS angstrom
3.726 -6.439 0.000
3.726 6.439 0.000
-2.576 0.000 8.270
ATOMIC_POSITIONS crystal
Ho 0.169 0.831 0.000
Ho 0.831 0.169 0.000
Hf 0.500 0.500 0.000
Tl 0.330 0.670 0.500
Tl 0.670 0.330 0.500
Te 0.109 0.424 0.790
Te 0.253 0.253 0.208
Te 0.424 0.109 0.790
Te 0.576 0.891 0.210
Te 0.747 0.747 0.792
Te 0.891 0.576 0.210

---

! HoHfTh2 GGA-PBE optimized geometry; values from VASP
! ΔE to the lowest computed polymorph, meV per atom: 0
! E_form, eV/atom: 0.1078
&SYSTEM
  ibrav = 0, nat = 4, ntyp = 3
/
ATOMIC_SPECIES
Ho 164.93 Ho.upf
Hf 178.49 Hf.upf
Th 232.04 Th.upf
CELL_PARAMETERS angstrom
3.474 0.000 0.000
0.000 3.474 0.000
0.000 0.000 9.755
ATOMIC_POSITIONS crystal
Ho 0.000 0.000 0.000
Hf 0.000 0.000 0.500
Th 0.500 0.500 0.265
Th 0.500 0.500 0.735

---

! Ho2HfTh GGA-PBE optimized geometry; values from VASP
! ΔE to the lowest computed polymorph, meV per atom: 247
! E_form, eV/atom: 0.3625
&SYSTEM
  ibrav = 0, nat = 4, ntyp = 3
/
ATOMIC_SPECIES
Ho 164.93 Ho.upf
Hf 178.49 Hf.upf
Th 232.04 Th.upf
CELL_PARAMETERS angstrom
1.687 0.974 11.866
-1.687 0.974 11.866
0.000 -1.948 11.866
ATOMIC_POSITIONS crystal
Ho 0.087 0.087 0.087
Ho 0.913 0.913 0.913
Hf 0.000 0.000 0.000
Th 0.500 0.500 0.500

---

- Number 2 is which compound?
  HoHfTh2